Entry 1:
The following is a PBE calculation of a geometry-optimized Co2Pt2Pb structure, from the Alexandria database.

Cell lengths 3.8869, 3.8869, 11.2131 Å; angles 90.00, 90.00, 90.00 degrees
Space group I4/mmm (No. 139)
Inequivalent atoms, fractional coordinates:
Co  0.0000  0.0000  0.1006
Pt  0.0000  0.5000  0.2500
Pb  0.0000  0.0000  0.5000

Properties
The calculation puts the formation energy at 0.202 eV per atom. Its energy above the most stable polymorph in this dataset is 25 meV per atom. The size of the total moment comes out at 4.304 μB/f.u.



Entry 2:
The following is a PBE calculation of a geometry-optimized Al6In structure, from the Alexandria database.

Cell lengths 7.3486, 7.3486, 7.3486 Å; angles 90.00, 90.00, 90.00 degrees
Space group Im-3m (No. 229)
Inequivalent atoms, fractional coordinates:
Al  0.0000  0.2500  0.5000
In  0.0000  0.0000  0.0000

Properties
The calculation puts the formation energy at 0.622 eV per atom. The size of the total moment comes out at 0.000 μB/f.u.



Entry 3:
The following is a PBE calculation of a geometry-optimized Tl3Cd8Ga3 structure, from the Alexandria database.

Cell lengths 5.1892, 10.5106, 12.9615 Å; angles 90.00, 90.00, 90.00 degrees
Space group Immm (No. 71)
Inequivalent atoms, fractional coordinates:
Tl  0.0000  0.0000  0.0000
Tl  0.0000  0.0000  0.2726
Cd  0.0000  0.2941  0.1430
Cd  0.0000  0.3586  0.3721
Ga  0.0000  0.1302  0.5000
Ga  0.0000  0.5000  0.0000

Properties
The calculation puts the formation energy at 0.055 eV per atom. The size of the total moment comes out at 0.000 μB/f.u.



Entry 4:
The following is a PBE calculation of a geometry-optimized Sr3CaPa2N6 structure, from the Alexandria database.

Cell lengths 15.7369, 3.6588, 7.3427 Å; angles 90.00, 104.69, 90.00 degrees
Space group C2/m (No. 12)
Inequivalent atoms, fractional coordinates:
Sr  0.0000  0.0000  0.0000
Sr  0.1619  0.5000  0.3345
Ca  0.0000  0.0000  0.5000
Pa  0.1643  0.5000  0.8255
N  0.0215  0.5000  0.7561
N  0.1677  0.0000  0.6216
N  0.1812  0.0000  0.0532

Properties
Its formation energy (no corrections) is -1.30 eV/atom. The size of the total moment comes out at 0.000 μB/f.u.



| no. | electronic total energy (hartree per atom) |
| --- | --- |
| 1 | -0.2131 |
| 2 | -0.1094 |
| 3 | -0.0597 |
| 4 | -0.2804 |